No. 1
Density functional theory data (GGA-PBE) for RbCdSn after structural relaxation.

The structure in POSCAR format:
```
RbCdSn
1.0
-2.056 3.422 7.596
2.056 -3.422 7.596
2.056 3.422 -7.596
Rb Cd Sn
2 2 2
direct
0.192 0.192 0.000
0.808 0.808 0.000
0.216 0.500 0.716
0.784 0.500 0.284
0.405 0.905 0.500
0.595 0.095 0.500
```

Summary:
- Spin magnetization: 0.000 μB per formula unit
- Energy relative to the elements: -107 meV/atom



No. 2
Density functional theory data (GGA-PBE) for Mg2GaPbCl after structural relaxation.

The structure in POSCAR format:
```
Mg2GaPbCl
1.0
4.999 0.000 0.000
0.000 4.999 0.000
0.000 0.000 5.793
Mg Ga Pb Cl
2 1 1 1
direct
0.000 0.500 0.000
0.500 0.000 0.000
0.000 0.000 0.500
0.500 0.500 0.500
0.500 0.500 0.000
```

Summary:
- Formation energy from raw total energies: 163.6 meV/atom
- Spin magnetization: 0.000 μB per formula unit



No. 3
Density functional theory data (GGA-PBE) for LiTi3Mn after structural relaxation.

The structure in POSCAR format:
```
LiTi3Mn
1.0
4.258 0.000 0.000
0.000 4.258 0.000
0.000 0.000 4.258
Li Ti Mn
1 3 1
direct
0.000 0.000 0.000
0.000 0.000 0.500
0.000 0.500 0.000
0.500 0.000 0.000
0.500 0.500 0.500
```

Summary:
- Spin magnetization: 0.000 μB per formula unit
- Energy relative to the elements: 1166 meV/atom



No. 4
Density functional theory data (GGA-PBE) for Tc2AsBr after structural relaxation.

The structure in POSCAR format:
```
Tc2AsBr
1.0
3.007 0.000 0.000
0.000 3.867 0.000
0.000 0.000 6.897
Tc As Br
2 1 1
direct
0.000 0.000 0.000
0.500 0.500 0.166
0.000 0.000 0.349
0.500 0.500 0.801
```

Summary:
- Formation energy from raw total energies: 282.6 meV/atom
- Spin magnetization: 0.000 μB per formula unit



No. 5
Density functional theory data (GGA-PBE) for Sc2TlIr after structural relaxation.

The structure in POSCAR format:
```
Sc2TlIr
1.0
-3.799 3.799 3.147
3.799 -3.799 3.147
3.799 3.799 -3.147
Sc Tl Ir
4 2 2
direct
0.073 0.625 0.948
0.375 0.323 0.448
0.677 0.125 0.052
0.875 0.927 0.552
0.250 0.750 0.500
0.500 0.500 0.000
0.000 0.000 0.000
0.750 0.250 0.500
```

Summary:
- Spin magnetization: 0.000 μB per formula unit
- Energy relative to the elements: -194 meV/atom



No. 6
Density functional theory data (GGA-PBE) for PrZnHg2 after structural relaxation.

The structure in POSCAR format:
```
PrZnHg2
1.0
4.676 0.000 0.000
0.000 4.676 0.000
0.000 0.000 4.551
Pr Zn Hg
1 1 2
direct
0.000 0.000 0.000
0.500 0.500 0.000
0.000 0.500 0.500
0.500 0.000 0.500
```

Summary:
- Spin magnetization: 0.000 μB per formula unit
- Energy relative to the elements: -273 meV/atom